No. 1
# LaNbSn PBE-GGA relaxed
data_LaNbSn
_chemical_formula_sum 'La4 Nb4 Sn4'
_cell_length_a 7.316
_cell_length_b 7.316
_cell_length_c 7.316
_cell_angle_alpha 90.00
_cell_angle_beta 90.00
_cell_angle_gamma 90.00
_symmetry_space_group_name_H-M 'F -4 3 m'
_symmetry_Int_Tables_number 216
_symmetry_space_group_name_Hall 'F -4 2 3'
loop_
_atom_site_label
_atom_site_type_symbol
_atom_site_fract_x
_atom_site_fract_y
_atom_site_fract_z
La1 La 0.000 0.000 0.000
Nb1 Nb 0.250 0.250 0.750
Sn1 Sn 0.250 0.250 0.250
# Offset from the most stable computed form in kJ/mol of formula units: 168.8


No. 2
# LiIrO3 PBE-GGA relaxed
data_LiIrO3
_chemical_formula_sum 'Li6 Ir6 O18'
_cell_length_a 5.3104
_cell_length_b 5.3104
_cell_length_c 13.7147
_cell_angle_alpha 90.00
_cell_angle_beta 90.00
_cell_angle_gamma 120.00
_symmetry_space_group_name_H-M 'R -3 c'
_symmetry_Int_Tables_number 167
_symmetry_space_group_name_Hall '-R 3 2"c'
loop_
_atom_site_label
_atom_site_type_symbol
_atom_site_fract_x
_atom_site_fract_y
_atom_site_fract_z
Li1 Li 0.0000 0.0000 0.0000
Ir1 Ir 0.0000 0.0000 0.2500
O1 O 0.0000 0.3359 0.2500
# Uncorrected energy in eV/atom: -5.887


Number 1 is which compound?
LaNbSn